Record 1
Entry from Alexandria: crystalline Sm2Tm8Th3 at its relaxed geometry (PBE).

## Properties
The value obtained for the final energy is -5.026 eV per atom. The formation energy is 164 meV per atom. The energy above the most stable polymorph in this dataset is 0.0 meV per atom. The calculated density comes out at 9398 kg/m³.

POSCAR file:
```
Sm2Tm8Th3
1.0
-2.7899 3.3661 11.0457
2.7899 -3.3661 11.0457
2.7899 3.3661 -11.0457
Sm Tm Th
2 8 3
direct
0.2243 0.2243 0.0000
0.7757 0.7757 0.0000
0.0754 0.0754 0.0000
0.0915 0.3509 0.7405
0.3202 0.8202 0.5000
0.3896 0.6491 0.7405
0.6104 0.3509 0.2595
0.6798 0.1798 0.5000
0.9085 0.6491 0.2595
0.9246 0.9246 0.0000
0.2311 0.5000 0.7311
0.5000 0.0000 0.5000
0.7689 0.5000 0.2689
```

***

Record 2
Entry from Alexandria: crystalline Sm6TmTh at its relaxed geometry (PBE).

## Properties
The value obtained for the final energy is -4.985 eV per atom. The formation energy is 40 meV per atom. The energy above the most stable polymorph in this dataset is 5.8 meV per atom. The calculated density comes out at 8180 kg/m³.

POSCAR file:
```
Sm6TmTh
1.0
5.0979 0.0000 0.0000
0.0000 5.0979 0.0000
0.0000 0.0000 10.1784
Sm Tm Th
6 1 1
direct
0.0000 0.0000 0.0000
0.0000 0.0000 0.5000
0.0000 0.5000 0.2489
0.0000 0.5000 0.7511
0.5000 0.0000 0.2489
0.5000 0.0000 0.7511
0.5000 0.5000 0.5000
0.5000 0.5000 0.0000
```

***

Record 3
Entry from Alexandria: crystalline Sm10Tm6Th at its relaxed geometry (PBE).

## Properties
The value obtained for the final energy is -4.642 eV per atom. The formation energy is 149 meV per atom. The calculated density comes out at 8127 kg/m³.

POSCAR file:
```
Sm10Tm6Th
1.0
9.7010 0.0000 0.0000
-4.8505 8.4013 0.0000
0.0000 0.0000 6.8926
Sm Tm Th
10 6 1
direct
0.0000 0.2791 0.3237
0.0000 0.7209 0.6763
0.2791 0.0000 0.3237
0.2791 0.2791 0.6763
0.3333 0.6667 0.0000
0.3333 0.6667 0.5000
0.6667 0.3333 0.0000
0.6667 0.3333 0.5000
0.7209 0.0000 0.6763
0.7209 0.7209 0.3237
0.0000 0.3649 0.8184
0.0000 0.6351 0.1816
0.3649 0.0000 0.8184
0.3649 0.3649 0.1816
0.6351 0.0000 0.1816
0.6351 0.6351 0.8184
0.0000 0.0000 0.0000
```

***

Record 4
Entry from Alexandria: crystalline Sm5Tm3Th at its relaxed geometry (PBE).

## Properties
The value obtained for the final energy is -4.618 eV per atom. The formation energy is 318 meV per atom. The calculated density comes out at 8238 kg/m³.

POSCAR file:
```
Sm5Tm3Th
1.0
-3.9174 3.9174 9.7896
3.9174 -3.9174 9.7896
3.9174 3.9174 -9.7896
Sm Tm Th
10 6 2
direct
0.0000 0.0000 0.0000
0.0735 0.5735 0.9110
0.1625 0.0735 0.5000
0.3375 0.8375 0.9110
0.4265 0.3375 0.5000
0.5000 0.5000 0.0000
0.5735 0.6625 0.5000
0.6625 0.1625 0.0890
0.8375 0.9265 0.5000
0.9265 0.4265 0.0890
0.1315 0.3685 0.5000
0.2500 0.2500 0.0000
0.3685 0.8685 0.2369
0.6315 0.1315 0.7631
0.7500 0.7500 0.0000
0.8685 0.6315 0.5000
0.2500 0.7500 0.5000
0.7500 0.2500 0.5000
```

***

Record 5
Entry from Alexandria: crystalline SmTm14Th at its relaxed geometry (PBE).

## Properties
The value obtained for the final energy is -4.615 eV per atom. The formation energy is 57 meV per atom. The calculated density comes out at 9337 kg/m³.

POSCAR file:
```
SmTm14Th
1.0
10.9226 0.0000 0.0000
0.0000 4.0438 5.5314
0.0000 -4.0438 5.5314
Sm Tm Th
1 14 1
direct
0.0000 0.0000 0.0000
0.0000 0.5150 0.9253
0.0000 0.9253 0.5150
0.2351 0.2060 0.2060
0.2507 0.1369 0.7144
0.2507 0.7144 0.1369
0.2680 0.6477 0.6477
0.5000 0.3432 0.9333
0.5000 0.4116 0.4116
0.5000 0.8594 0.8594
0.5000 0.9333 0.3432
0.7320 0.6477 0.6477
0.7493 0.1369 0.7144
0.7493 0.7144 0.1369
0.7649 0.2060 0.2060
0.0000 0.4339 0.4339
```

***

Record 6
Entry from Alexandria: crystalline Sm7Tm4Th at its relaxed geometry (PBE).

## Properties
The value obtained for the final energy is -4.851 eV per atom. The formation energy is 10 meV per atom. The calculated density comes out at 8365 kg/m³.

POSCAR file:
```
Sm7Tm4Th
1.0
6.2445 0.0000 0.0000
-0.0035 7.2118 0.0000
-2.1085 -0.0191 8.6410
Sm Tm Th
7 4 1
direct
0.0000 0.0000 0.0000
0.2201 0.5000 0.6694
0.2773 0.2505 0.3332
0.4996 0.2520 0.9983
0.5004 0.7480 0.0017
0.7227 0.7495 0.6668
0.7799 0.5000 0.3306
0.2195 0.0000 0.6623
0.2745 0.7518 0.3316
0.7255 0.2482 0.6684
0.7805 0.0000 0.3377
0.0000 0.5000 0.0000
```